Compound: V6CrCo5
Source: the Alexandria database
Functional: PBE
Structure: optimized geometry

Results
The total magnetization comes out at 8.28 μB per formula unit. The calculation puts the formation energy at -0.0870 eV/atom.

Structure (POSCAR):
```
V6CrCo5
1.0
2.053 -6.124 0.000
2.053 6.124 0.000
0.000 0.000 5.798
V Cr Co
6 1 5
Direct
0.000 0.000 0.247
0.000 0.000 0.753
0.336 0.664 0.248
0.336 0.664 0.752
0.664 0.336 0.248
0.664 0.336 0.752
0.500 0.500 0.000
0.167 0.833 0.500
0.170 0.830 0.000
0.500 0.500 0.500
0.830 0.170 0.000
0.833 0.167 0.500
```

***

Compound: V4Cr3Co2
Source: the Alexandria database
Functional: PBE
Structure: optimized geometry

Results
The total magnetization comes out at 2.42 μB per formula unit. The calculation puts the formation energy at -0.0496 eV/atom.

Structure (POSCAR):
```
V4Cr3Co2
1.0
4.085 0.000 0.000
-2.042 3.538 0.000
0.000 0.000 7.556
V Cr Co
4 3 2
Direct
0.000 0.000 0.170
0.000 0.000 0.830
0.333 0.667 0.393
0.667 0.333 0.607
0.000 0.000 0.500
0.333 0.667 0.054
0.667 0.333 0.946
0.333 0.667 0.726
0.667 0.333 0.274
```

***

Compound: V2CrCo
Source: the Alexandria database
Functional: PBE
Structure: optimized geometry

Results
The total magnetization comes out at 1.04 μB per formula unit. The calculation puts the formation energy at -0.1168 eV/atom.

Structure (POSCAR):
```
V2CrCo
1.0
4.082 0.000 0.000
0.000 4.082 0.000
0.000 0.000 2.917
V Cr Co
2 1 1
Direct
0.000 0.500 0.000
0.500 0.000 0.000
0.000 0.000 0.500
0.500 0.500 0.500
```

***

Compound: V5Cr2Co
Source: the Alexandria database
Functional: PBE
Structure: optimized geometry

Results
The total magnetization comes out at 0.00 μB per formula unit. The calculation puts the formation energy at 0.1906 eV/atom.

Structure (POSCAR):
```
V5Cr2Co
1.0
-3.001 3.001 5.785
3.001 -3.001 5.785
3.001 3.001 -5.785
V Cr Co
10 4 2
Direct
0.000 0.000 0.000
0.005 0.505 0.826
0.179 0.005 0.500
0.321 0.821 0.826
0.495 0.321 0.500
0.500 0.500 0.000
0.505 0.679 0.500
0.679 0.179 0.174
0.821 0.995 0.500
0.995 0.495 0.174
0.148 0.352 0.500
0.352 0.852 0.204
0.648 0.148 0.796
0.852 0.648 0.500
0.250 0.250 0.000
0.750 0.750 0.000
```

***

Compound: V2CrCo9
Source: the Alexandria database
Functional: PBE
Structure: optimized geometry

Results
The total magnetization comes out at 3.92 μB per formula unit. The calculation puts the formation energy at -0.1001 eV/atom.

Structure (POSCAR):
```
V2CrCo9
1.0
3.520 0.000 0.000
0.000 3.520 0.000
0.000 0.000 10.577
V Cr Co
2 1 9
Direct
0.000 0.000 0.166
0.000 0.000 0.834
0.000 0.000 0.500
0.000 0.500 0.000
0.000 0.500 0.336
0.000 0.500 0.664
0.500 0.000 0.000
0.500 0.000 0.336
0.500 0.000 0.664
0.500 0.500 0.168
0.500 0.500 0.500
0.500 0.500 0.832
```

***

Compound: V3CrCo12
Source: the Alexandria database
Functional: PBE
Structure: optimized geometry

Results
The total magnetization comes out at 0.01 μB per formula unit. The calculation puts the formation energy at -0.1158 eV/atom.

Structure (POSCAR):
```
V3CrCo12
1.0
3.506 0.000 0.000
0.000 3.506 0.000
0.000 0.000 14.019
V Cr Co
3 1 12
Direct
0.000 0.000 0.000
0.000 0.000 0.250
0.000 0.000 0.750
0.000 0.000 0.500
0.000 0.500 0.126
0.000 0.500 0.378
0.000 0.500 0.622
0.000 0.500 0.874
0.500 0.000 0.126
0.500 0.000 0.378
0.500 0.000 0.622
0.500 0.000 0.874
0.500 0.500 0.000
0.500 0.500 0.252
0.500 0.500 0.500
0.500 0.500 0.748
```

***

Compound: VCr2Co
Source: the Alexandria database
Functional: PBE
Structure: optimized geometry

Results
The calculation puts the energy above the lowest structure with this stoichiometry at 46.2 kJ/mol of atoms. The total magnetization comes out at 0.00 μB per formula unit. The calculation puts the formation energy at 0.5531 eV/atom.

Structure (POSCAR):
```
VCr2Co
1.0
-3.246 3.246 2.376
3.246 -3.246 2.376
3.246 3.246 -2.376
V Cr Co
2 4 2
Direct
0.000 0.000 0.000
0.750 0.250 0.500
0.142 0.625 0.017
0.375 0.392 0.517
0.608 0.125 0.983
0.875 0.858 0.483
0.250 0.750 0.500
0.500 0.500 0.000
```

***

Compound: VCrCo4
Source: the Alexandria database
Functional: PBE
Structure: optimized geometry

Results
The calculation puts the energy above the lowest structure with this stoichiometry at 0.0 kJ/mol of atoms. The total magnetization comes out at 4.58 μB per formula unit. The calculation puts the formation energy at 0.0617 eV/atom.

Structure (POSCAR):
```
VCrCo4
1.0
-2.068 3.980 4.139
2.068 -3.980 4.139
2.068 3.980 -4.139
V Cr Co
2 2 8
Direct
0.374 0.124 0.250
0.626 0.876 0.750
0.122 0.372 0.750
0.878 0.628 0.250
0.038 0.126 0.912
0.211 0.623 0.588
0.286 0.874 0.412
0.465 0.377 0.088
0.535 0.623 0.912
0.714 0.126 0.588
0.789 0.377 0.412
0.962 0.874 0.088
```

***

Copy entry 8 word for word.
Compound: VCrCo4
Source: the Alexandria database
Functional: PBE
Structure: optimized geometry

Results
The calculation puts the energy above the lowest structure with this stoichiometry at 0.0 kJ/mol of atoms. The total magnetization comes out at 4.58 μB per formula unit. The calculation puts the formation energy at 0.0617 eV/atom.

Structure (POSCAR):
```
VCrCo4
1.0
-2.068 3.980 4.139
2.068 -3.980 4.139
2.068 3.980 -4.139
V Cr Co
2 2 8
Direct
0.374 0.124 0.250
0.626 0.876 0.750
0.122 0.372 0.750
0.878 0.628 0.250
0.038 0.126 0.912
0.211 0.623 0.588
0.286 0.874 0.412
0.465 0.377 0.088
0.535 0.623 0.912
0.714 0.126 0.588
0.789 0.377 0.412
0.962 0.874 0.088
```

***

total magnetization of number 8 (VCrCo4)? 4.58 μB per formula unit

***

Repeat the first record exactly.
Compound: V6CrCo5
Source: the Alexandria database
Functional: PBE
Structure: optimized geometry

Results
The total magnetization comes out at 8.28 μB per formula unit. The calculation puts the formation energy at -0.0870 eV/atom.

Structure (POSCAR):
```
V6CrCo5
1.0
2.053 -6.124 0.000
2.053 6.124 0.000
0.000 0.000 5.798
V Cr Co
6 1 5
Direct
0.000 0.000 0.247
0.000 0.000 0.753
0.336 0.664 0.248
0.336 0.664 0.752
0.664 0.336 0.248
0.664 0.336 0.752
0.500 0.500 0.000
0.167 0.833 0.500
0.170 0.830 0.000
0.500 0.500 0.500
0.830 0.170 0.000
0.833 0.167 0.500
```